4
Lattice="2.8994 0.0000 0.0000 0.0000 2.8994 0.0000 0.0000 0.0000 8.1486" Properties=species:S:1:pos:R:3 comment="YZrMn2 | Alexandria via LeMat-Bulk | GGA-PBEsol | relaxed" crystal_system=tetragonal spacegroup="P4mm (99)" pbc="T T T"
Mn 0.0000 0.0000 0.4241
Y 0.0000 0.0000 3.6174
Zr 1.4497 1.4497 6.6545
Mn 1.4497 1.4497 1.5269

=====

4
Lattice="-1.8940 0.7668 -2.6087 -0.1427 -3.2028 -0.8379 -5.4228 -0.7322 3.7219" Properties=species:S:1:pos:R:3 comment="YZrMn2 | Alexandria via LeMat-Bulk | GGA-PBEsol | relaxed" crystal_system=tetragonal spacegroup="P4/mmm (123)" pbc="T T T"
Zr -3.7297 -1.5841 0.1377
Y -1.0183 -1.2180 -1.7233
Mn -1.5858 -0.2141 1.0884
Mn -3.8370 -0.5181 2.6335

=====

4
Lattice="3.1829 0.0000 0.0000 0.0000 3.1829 0.0000 0.0000 0.0000 8.1706" Properties=species:S:1:pos:R:3 comment="YZr2Mn | Alexandria via LeMat-Bulk | GGA-PBEsol | relaxed" crystal_system=tetragonal spacegroup="P4/mmm (123)" pbc="T T T"
Zr 0.0000 0.0000 1.4959
Y 1.5914 1.5914 4.0853
Mn 1.5914 1.5914 0.0000
Zr 0.0000 0.0000 6.6747

=====

4
Lattice="-1.6507 -1.4635 -2.2757 2.7054 0.2961 -1.6244 2.5566 -7.4055 2.9081" Properties=species:S:1:pos:R:3 comment="YZr2Mn | Alexandria via LeMat-Bulk | GGA-PBEsol | relaxed" crystal_system=orthorhombic spacegroup="Cmmm (65)" pbc="T T T"
Zr 0.8146 -2.3596 0.9266
Y 0.5273 -0.5837 -1.9500
Mn 1.8056 -4.2865 -0.4960
Zr 1.7420 -5.0459 1.9815

=====

4
Lattice="2.6450 0.0000 0.0000 -1.3225 2.2906 0.0000 0.0000 0.0000 8.6037" Properties=species:S:1:pos:R:3 comment="MnZn3 | Alexandria via LeMat-Bulk | GGA-PBEsol | relaxed" crystal_system=hexagonal spacegroup="P-6m2 (187)" pbc="T T T"
Mn 0.0000 0.0000 0.0000
Zn 1.3225 0.7635 6.5337
Zn 0.0000 0.0000 4.3019
Zn 1.3225 0.7635 2.0700

=====

4
Lattice="2.6530 -0.0027 0.0014 -1.3309 4.3753 -0.0028 0.0033 -0.8968 4.6033" Properties=species:S:1:pos:R:3 comment="MnZn3 | Alexandria via LeMat-Bulk | GGA-PBEsol | relaxed" crystal_system=triclinic spacegroup="P-1 (2)" pbc="T T T"
Mn 0.0001 0.0000 0.0000
Zn 0.0004 1.5076 3.4765
Zn 1.3253 1.9683 1.1254
Zn 1.3282 -0.4497 2.3023

=====

Result set for spin magnetization: 0.00 4.06 0.01 0.00 1.98 2.90 μB/f.u., one per record in the order listed.
Result set for formation energy from the elements: 0.19 0.18 0.10 0.09 0.08 0.09 eV per atom, one per record in the order listed.
Result set for electronic total energy: -8.66 -8.68 -8.59 -8.60 -3.54 -3.54 eV per atom, one per record in the order listed.